NaLi2Hg7 (PBE-GGA, optimized geometry); M_tot = 0.000 μB/atom; offset from the most stable computed form = 0.000 eV per formula unit; final energy = -8.99 eV per formula unit; density of states at the Fermi level = 4.02 states/eV per cell
1.0
4.892 0.000 0.000
-2.446 4.237 0.000
0.000 0.000 11.742
Na Hg Li
1 7 2
direct
0.000 0.000 0.946
0.000 0.000 0.268
0.333 0.667 0.137
0.667 0.333 0.046
0.000 0.000 0.554
0.667 0.333 0.714
0.333 0.667 0.848
0.333 0.667 0.395
0.333 0.667 0.621
0.667 0.333 0.454



KNaSb (PBE-GGA, optimized geometry); M_tot = 0.000 μB/atom; offset from the most stable computed form = 0.521 eV per formula unit; final energy = -7.03 eV per formula unit; ΔE_f (raw) = -0.165 eV/atom; density of states at the Fermi level = 6.95 states/eV per cell
1.0
-7.701 1.088 -6.116
4.595 -7.665 -7.150
-4.280 0.815 5.535
Na K Sb
4 4 4
direct
0.624 0.832 0.000
0.376 0.168 0.000
0.124 0.668 0.000
0.876 0.332 0.000
0.000 0.803 0.605
0.500 0.303 0.605
0.000 0.197 0.395
0.500 0.697 0.395
0.708 0.114 0.000
0.208 0.386 0.000
0.792 0.614 0.000
0.292 0.886 0.000



K2SrP (PBE-GGA, optimized geometry); M_tot = 0.000 μB/atom; final energy = -9.43 eV per formula unit; density of states at the Fermi level = 3.22 states/eV per cell
1.0
-4.767 -3.075 1.138
-0.738 -2.364 5.229
-4.017 2.112 3.588
K Sr P
2 1 1
direct
0.000 0.000 0.000
0.250 0.250 0.250
0.750 0.750 0.750
0.500 0.500 0.500



SmTlSn4 (PBE-GGA, optimized geometry); M_tot = 0.000 μB/atom; final energy = -24.18 eV per formula unit; density of states at the Fermi level = 3.49 states/eV per cell
1.0
-4.839 -3.693 -1.348
-0.728 -5.410 3.013
-4.641 -0.681 4.107
Sn Sm Tl
4 1 1
direct
0.625 0.126 0.625
0.126 0.625 0.625
0.625 0.625 0.126
0.625 0.625 0.625
0.250 0.250 0.250
0.000 0.000 0.000



ZrCrRe2Se (PBE-GGA, optimized geometry); M_tot = 0.586 μB/atom; final energy = -34.73 eV per formula unit; ΔE_f (raw) = 2.365 eV/atom; density of states at the Fermi level = 6.15 states/eV per cell
1.0
-4.061 -2.570 -0.075
2.526 -3.946 -1.561
0.752 -1.322 4.559
Se Re Zr Cr
1 2 1 1
direct
0.500 0.500 0.500
0.000 0.000 0.500
0.500 0.000 0.000
0.000 0.000 0.000
0.000 0.500 0.000



TiTcRh (PBE-GGA, optimized geometry); M_tot = 0.000 μB/atom; final energy = -26.76 eV per formula unit; density of states at the Fermi level = 4.77 states/eV per cell
1.0
3.038 0.000 0.000
0.000 3.038 0.000
-1.519 -1.519 10.254
Rh Ti Tc
2 2 2
direct
0.562 0.562 0.125
0.438 0.438 0.875
0.128 0.128 0.256
0.872 0.872 0.744
0.714 0.714 0.427
0.286 0.286 0.573



PmHo3TmTh (PBE-GGA, optimized geometry); M_tot = 0.000 μB/atom; final energy = -30.21 eV per formula unit; density of states at the Fermi level = 18.00 states/eV per cell
1.0
5.040 0.000 0.000
0.000 7.843 -1.176
0.000 -3.228 10.113
Pm Th Ho Tm
2 2 6 2
direct
0.750 0.875 0.708
0.250 0.125 0.292
0.250 0.620 0.122
0.750 0.380 0.878
0.250 0.131 0.957
0.250 0.626 0.457
0.750 0.374 0.543
0.750 0.383 0.208
0.250 0.617 0.792
0.750 0.869 0.043
0.250 0.128 0.627
0.750 0.872 0.373



La2TbPrNd2 (PBE-GGA, optimized geometry); M_tot = 0.000 μB/atom; final energy = -27.43 eV per formula unit; density of states at the Fermi level = 22.40 states/eV per cell
1.0
3.484 0.000 0.000
0.000 6.845 0.000
0.000 0.000 18.177
Nd La Pr Tb
4 4 2 2
direct
0.500 0.229 0.649
0.500 0.771 0.351
0.000 0.729 0.851
0.000 0.271 0.149
0.000 0.236 0.818
0.000 0.764 0.182
0.500 0.264 0.318
0.500 0.736 0.682
0.500 0.500 0.000
0.000 0.000 0.500
0.500 0.500 0.500
0.000 0.000 0.000



ThMgRuRh (PBE-GGA, optimized geometry); M_tot = 0.000 μB/atom; offset from the most stable computed form = 0.000 eV per formula unit; final energy = -27.84 eV per formula unit; density of states at the Fermi level = 3.52 states/eV per cell
1.0
-1.875 -1.814 2.537
0.953 -3.840 -2.041
3.839 -0.402 2.549
Mg Rh Th Ru
1 1 1 1
direct
0.000 0.000 0.000
0.500 0.500 0.000
0.000 0.500 0.500
0.500 0.000 0.500



PrZnPt (PBE-GGA, optimized geometry); M_tot = 0.000 μB/atom; final energy = -14.01 eV per formula unit; density of states at the Fermi level = 1.70 states/eV per cell
1.0
3.558 0.000 0.000
0.000 3.558 0.000
-1.779 -1.779 5.023
Zn Pt Pr
1 1 1
direct
0.920 0.920 0.840
0.308 0.308 0.615
0.622 0.622 0.244



Ba6SeS2Cl3 (PBE-GGA, optimized geometry); M_tot = 0.000 μB/atom; final energy = -52.30 eV per formula unit; ΔE_f (raw) = -1.957 eV/atom; density of states at the Fermi level = 5.58 states/eV per cell
1.0
-2.926 -7.347 -0.271
6.006 1.687 4.867
-5.905 3.628 3.887
Ba S Cl Se
6 2 3 1
direct
0.922 0.581 0.767
0.419 0.078 0.233
0.263 0.263 0.767
0.078 0.419 0.233
0.581 0.922 0.767
0.737 0.737 0.233
0.667 0.333 0.000
0.333 0.667 0.000
0.836 0.164 0.500
0.164 0.836 0.500
0.500 0.500 0.500
0.000 0.000 0.000



Ca2Hg8Pb3 (PBE-GGA, optimized geometry); M_tot = 0.000 μB/atom; final energy = -19.08 eV per formula unit; density of states at the Fermi level = 4.18 states/eV per cell
1.0
-1.483 -5.398 -2.093
3.435 -4.732 1.237
-5.879 -5.485 9.779
Ca Pb Hg
2 3 8
direct
0.363 0.363 0.912
0.637 0.637 0.088
0.817 0.817 0.549
0.000 0.000 0.000
0.183 0.183 0.451
0.731 0.731 0.309
0.269 0.269 0.691
0.720 0.720 0.839
0.280 0.280 0.161
0.229 0.731 0.309
0.269 0.771 0.691
0.771 0.269 0.691
0.731 0.229 0.309



LiI2NO (PBE-GGA, optimized geometry); M_tot = 0.000 μB/atom; offset from the most stable computed form = 0.000 eV per formula unit; final energy = -14.83 eV per formula unit; ΔE_f (raw) = 0.694 eV/atom; density of states at the Fermi level = 4.18 states/eV per cell
1.0
5.201 0.000 0.000
0.000 5.201 0.000
0.000 0.000 3.603
O I N Li
1 2 1 1
direct
0.000 0.000 0.500
0.500 0.000 0.000
0.000 0.500 0.000
0.000 0.000 0.000
0.500 0.500 0.500



Sm3Cu2SiPt9 (PBE-GGA, optimized geometry); M_tot = 0.000 μB/atom; final energy = -92.35 eV per formula unit; ΔE_f (raw) = -0.681 eV/atom; density of states at the Fermi level = 7.64 states/eV per cell
1.0
5.610 0.000 0.000
-2.805 4.858 0.000
0.000 0.000 11.340
Sm Pt Cu Si
3 9 2 1
direct
0.333 0.667 0.754
0.000 0.000 0.000
0.667 0.333 0.246
0.500 0.000 0.000
0.829 0.658 0.648
0.658 0.829 0.352
0.342 0.171 0.648
0.500 0.500 0.000
0.171 0.829 0.352
0.171 0.342 0.352
0.000 0.500 0.000
0.829 0.171 0.648
0.333 0.667 0.173
0.667 0.333 0.827
0.000 0.000 0.500



Tb8Pr (PBE-GGA, optimized geometry); M_tot = 0.000 μB/atom; final energy = -41.67 eV per formula unit; density of states at the Fermi level = 12.99 states/eV per cell
1.0
5.052 0.000 0.000
2.526 7.593 0.000
2.526 0.000 7.593
Tb Pr
8 1
direct
0.334 0.666 0.666
0.332 0.335 0.000
0.668 0.000 0.665
0.000 0.666 0.334
0.666 0.334 0.334
0.000 0.334 0.666
0.668 0.665 0.000
0.332 0.000 0.335
0.000 0.000 0.000



AlZn2Os (PBE-GGA, optimized geometry); M_tot = 0.000 μB/atom; final energy = -17.12 eV per formula unit; density of states at the Fermi level = 2.01 states/eV per cell
1.0
4.322 0.264 0.000
-1.390 4.100 0.000
0.000 0.000 3.204
Zn Al Os
2 1 1
direct
0.500 0.500 0.000
0.000 0.000 0.000
0.500 0.000 0.500
0.000 0.500 0.500



Ho2MnSiPt6 (PBE-GGA, optimized geometry); M_tot = 0.395 μB/atom; final energy = -68.02 eV per formula unit; ΔE_f (raw) = -0.802 eV/atom; density of states at the Fermi level = 2.85 states/eV per cell
1.0
5.571 0.042 0.043
-0.073 7.903 1.685
2.704 5.122 5.635
Ho Mn Pt Si
2 1 6 1
direct
0.297 0.703 0.406
0.703 0.297 0.594
0.000 0.000 0.000
0.253 0.241 0.494
0.747 0.253 0.012
0.253 0.747 0.988
0.759 0.747 0.988
0.241 0.253 0.012
0.747 0.759 0.506
0.500 0.500 0.000



NpURu (PBE-GGA, optimized geometry); M_tot = 0.000 μB/atom; offset from the most stable computed form = 0.099 eV per formula unit; final energy = -33.74 eV per formula unit; density of states at the Fermi level = 5.48 states/eV per cell
1.0
-2.725 -1.456 -1.140
1.538 -2.912 0.040
-0.940 1.437 5.169
U Ru Np
1 1 1
direct
0.686 0.686 0.372
0.999 0.999 0.998
0.315 0.315 0.630



HgOs2Cl (PBE-GGA, optimized geometry); M_tot = 0.000 μB/atom; offset from the most stable computed form = 2.197 eV per formula unit; final energy = -21.00 eV per formula unit; ΔE_f (raw) = 0.902 eV/atom; density of states at the Fermi level = 3.62 states/eV per cell
1.0
-1.045 -0.405 6.236
-3.673 -0.257 5.156
-2.792 -5.775 6.008
Os Cl Hg
2 1 1
direct
0.042 0.042 0.813
0.458 0.458 0.687
0.750 0.750 0.750
0.250 0.250 0.250



Th8Hg3Bi2 (PBE-GGA, optimized geometry); M_tot = 0.000 μB/atom; final energy = -68.26 eV per formula unit; density of states at the Fermi level = 16.73 states/eV per cell
1.0
6.372 0.000 1.161
0.000 8.901 0.000
-1.758 -4.451 7.124
Th Hg Bi
8 3 2
direct
0.151 0.818 0.637
0.389 0.424 0.223
0.611 0.576 0.777
0.389 0.799 0.223
0.889 0.596 0.192
0.849 0.182 0.363
0.111 0.404 0.808
0.611 0.201 0.777
0.500 0.000 0.000
0.000 0.831 0.000
0.000 0.169 0.000
0.358 0.221 0.442
0.642 0.779 0.558



Ce3Nd4PuN8 (PBE-GGA, optimized geometry); M_tot = 0.308 μB/atom; final energy = -140.45 eV per formula unit; ΔE_f (raw) = -1.415 eV/atom; density of states at the Fermi level = 12.58 states/eV per cell
1.0
-2.662 -6.125 -2.636
5.898 -0.833 -4.021
0.597 0.894 7.099
N Ce Pu Nd
8 3 1 4
direct
0.758 0.269 0.010
0.256 0.267 0.511
0.252 0.269 0.010
0.748 0.731 0.990
0.242 0.731 0.990
0.744 0.733 0.489
0.758 0.269 0.517
0.242 0.731 0.483
0.500 0.500 0.500
0.000 0.500 0.500
0.500 0.500 0.000
0.000 0.500 0.000
0.000 0.000 0.500
0.500 0.000 0.000
0.000 0.000 0.000
0.500 0.000 0.500



CdRe2Pt (PBE-GGA, optimized geometry); M_tot = 0.000 μB/atom; final energy = -30.72 eV per formula unit; density of states at the Fermi level = 2.90 states/eV per cell
1.0
5.036 -0.001 0.004
4.261 2.683 0.004
0.782 0.226 4.749
Re Cd Pt
2 1 1
direct
0.992 0.992 0.008
0.508 0.508 0.492
0.750 0.750 0.750
0.250 0.250 0.250



BaAgPt2 (PBE-GGA, optimized geometry); M_tot = 0.000 μB/atom; offset from the most stable computed form = 1.588 eV per formula unit; final energy = -17.02 eV per formula unit; density of states at the Fermi level = 3.80 states/eV per cell
1.0
-1.405 1.384 -2.997
0.431 -3.152 -1.658
-6.701 -2.067 2.187
Ag Pt Ba
1 2 1
direct
0.000 0.000 0.448
0.000 0.000 0.082
0.500 0.500 0.198
0.500 0.500 0.772



PmAlGa (PBE-GGA, optimized geometry); M_tot = 0.000 μB/atom; offset from the most stable computed form = 1.011 eV per formula unit; final energy = -12.31 eV per formula unit; density of states at the Fermi level = 4.31 states/eV per cell
1.0
5.291 0.406 0.000
-2.184 4.836 0.000
-1.553 -2.621 5.345
Pm Al Ga
2 2 2
direct
0.715 0.285 0.500
0.965 0.035 0.000
0.073 0.927 0.500
0.323 0.677 0.000
0.618 0.382 0.000
0.368 0.632 0.500



KLaBe2 (PBE-GGA, optimized geometry); M_tot = 0.056 μB/atom; offset from the most stable computed form = 0.899 eV per formula unit; final energy = -11.06 eV per formula unit; density of states at the Fermi level = 4.11 states/eV per cell
1.0
-1.237 0.157 2.802
-2.328 -2.068 -0.912
5.458 -7.390 2.825
K Be La
1 2 1
direct
0.000 0.000 0.433
0.500 0.500 0.147
0.000 0.000 0.082
0.500 0.500 0.838